1.
Material: CrTeRu2
Method: DFT, PBE
State: optimized geometry

abc: 3.8393 3.0520 6.2672
angles: 60.89 90.00 90.00
Last column: magnetic moment on the atom in μB.
Element x y z (fractional)
Te (0.0000, 0.5277, 0.4723)  -0.01
Ru (0.5000, 0.2281, 0.2714)  -0.07
Ru (0.0000, 0.0435, 0.9573)  -0.46
Cr (0.5000, 0.7007, 0.7990)  2.53

## Properties
SG = Pmm2
magnetic moment = 2.175 μB per formula unit
formation energy from raw total energies = 350 meV per atom

=====

2.
Material: RbTlI2
Method: DFT, PBE
State: optimized geometry

abc: 4.3767 4.3767 8.7275
angles: 90.00 90.00 90.00
Element x y z (fractional)
I (0.0000, 0.0000, 0.2421)
I (0.0000, 0.0000, 0.7579)
Tl (0.5000, 0.5000, 0.0000)
Rb (0.5000, 0.5000, 0.5000)

## Properties
SG = P4/mmm
magnetic moment = 0.000 μB per formula unit
offset from the most stable computed form = 50.0 meV/atom
formation energy from raw total energies = -1026 meV per atom

=====

Question: Among the records above, which one has the highest magnetic moment?
Answer: CrTeRu2